[1]
Material: Sc2AgHg
Method: DFT, GGA-PBE
State: optimized geometry

Cell and atoms, written as POSCAR:
```
Sc2AgHg
1.0
3.385 0.000 0.000
0.000 5.910 -0.010
0.000 3.926 4.489
Sc Hg Ag
2 1 1
Cartesian
0.000 0.000 0.000
1.692 2.955 -0.005
0.000 1.963 2.244
1.692 4.918 2.239
```

Results
Energy = -16.44 eV for the cell shown
Formation energy from the elements = -0.156 eV per atom

[2]
Material: CaOsBr
Method: DFT, GGA-PBE
State: optimized geometry

Cell and atoms, written as POSCAR:
```
CaOsBr
1.0
-0.080 -1.208 -3.067
1.876 -1.447 2.293
-5.465 -4.223 1.805
Ca Br Os
1 1 1
Cartesian
-1.203 -2.659 -0.694
-0.168 -0.130 0.055
-2.299 -4.090 1.670
```

Results
Energy = -13.19 eV for the cell shown
ΔE to the lowest computed polymorph = 0.149 eV/atom
E_form (uncorrected) = 1.72 eV/f.u.

[3]
Material: HfTiMo2
Method: DFT, GGA-PBE
State: optimized geometry

Cell and atoms, written as POSCAR:
```
HfTiMo2
1.0
-3.232 -0.244 -0.087
-0.030 -0.733 3.158
-0.516 6.314 1.460
Mo Hf Ti
2 1 1
Cartesian
-0.395 4.834 1.118
-0.121 1.479 0.342
-1.889 2.669 2.265
-1.631 -0.488 1.535
```

Results
Energy = -39.56 eV for the cell shown
ΔE to the lowest computed polymorph = 0.000 eV/atom
Formation energy from the elements = -0.013 eV per atom

[4]
Material: Ta7Ti2Tc2
Method: DFT, GGA-PBE
State: optimized geometry

Cell and atoms, written as POSCAR:
```
Ta7Ti2Tc2
1.0
-2.917 0.986 3.897
-0.680 -4.404 -2.195
4.809 -4.799 6.011
Ti Tc Ta
2 2 7
Cartesian
0.045 -2.757 5.384
1.167 -5.459 2.330
0.189 -5.254 4.718
1.023 -2.962 2.996
0.000 0.000 0.000
2.802 -4.011 4.577
-0.959 -1.118 2.646
-0.190 -2.972 0.551
1.402 -5.245 7.163
2.171 -7.098 5.068
-1.590 -4.206 3.137
```

Results
Energy = -118.55 eV for the cell shown
Formation energy from the elements = 0.085 eV per atom

[5]
Material: NpTlAs2
Method: DFT, GGA-PBE
State: optimized geometry

Cell and atoms, written as POSCAR:
```
NpTlAs2
1.0
-3.225 -1.207 -2.425
0.236 -3.594 -2.183
-3.912 -5.250 4.159
As Np Tl
2 1 1
Cartesian
-1.566 -2.312 -0.424
-5.336 -7.738 -0.024
0.000 0.000 0.000
-3.451 -5.025 -0.224
```

Results
Energy = -25.29 eV for the cell shown
ΔE to the lowest computed polymorph = 0.113 eV/atom
Formation energy from the elements = -0.170 eV per atom

[6]
Material: HfScSiTe2
Method: DFT, GGA-PBE
State: optimized geometry

Cell and atoms, written as POSCAR:
```
HfScSiTe2
1.0
-0.182 -2.752 -4.641
-1.021 -4.106 2.475
-5.277 1.058 -0.421
Sc Hf Te Si
1 1 2 1
Cartesian
0.000 0.000 0.000
-3.240 -2.900 -1.293
-0.091 -1.376 -2.320
-2.638 0.529 -0.210
-0.510 -2.053 1.237
```

Results
Energy = -25.52 eV for the cell shown
E_form (uncorrected) = 2.48 eV/f.u.

Please write out number 2 again, unchanged.
Material: CaOsBr
Method: DFT, GGA-PBE
State: optimized geometry

Cell and atoms, written as POSCAR:
```
CaOsBr
1.0
-0.080 -1.208 -3.067
1.876 -1.447 2.293
-5.465 -4.223 1.805
Ca Br Os
1 1 1
Cartesian
-1.203 -2.659 -0.694
-0.168 -0.130 0.055
-2.299 -4.090 1.670
```

Results
Energy = -13.19 eV for the cell shown
ΔE to the lowest computed polymorph = 0.149 eV/atom
E_form (uncorrected) = 1.72 eV/f.u.

Question: energy of number 6 (HfScSiTe2)?
Answer: -25.52 eV for the cell shown

Copy entry 2 word for word.
Material: CaOsBr
Method: DFT, GGA-PBE
State: optimized geometry

Cell and atoms, written as POSCAR:
```
CaOsBr
1.0
-0.080 -1.208 -3.067
1.876 -1.447 2.293
-5.465 -4.223 1.805
Ca Br Os
1 1 1
Cartesian
-1.203 -2.659 -0.694
-0.168 -0.130 0.055
-2.299 -4.090 1.670
```

Results
Energy = -13.19 eV for the cell shown
ΔE to the lowest computed polymorph = 0.149 eV/atom
E_form (uncorrected) = 1.72 eV/f.u.

Question: Look up the energy of the first one.
Answer: -16.44 eV for the cell shown